No. 1
Here is La2PmAl12Ni3 after structural relaxation from Alexandria via LeMat-Bulk. Energies are from PBE.

Computed properties:
**Space group**: R-3m
**Energy of formation from the pure elements**: -1.8 kcal/mol of atoms
**Raw total energy**: -4.346 eV per atom

a b c (Å): 7.9771 7.9771 7.9771
angles (deg): 64.29 64.29 64.29
Closest atoms and distances in Å follow each position.
Positions (direct):
La  0.0813  0.0813  0.0813  1 La 3.07, 6 Al 3.09-3.25
La  0.9187  0.9187  0.9187  1 La 3.07, 6 Al 3.09-3.25
Pm  0.5000  0.5000  0.5000  12 Al 3.28-3.46
Al  0.0233  0.6648  0.6648  1 Ni 2.33
Al  0.2176  0.2176  0.6066  2 Ni 2.24
Al  0.2176  0.6066  0.2176  2 Ni 2.24
Al  0.3352  0.3352  0.9767  1 Ni 2.33
Al  0.3352  0.9767  0.3352  1 Ni 2.33
Al  0.3934  0.7824  0.7824  2 Ni 2.24
Al  0.6066  0.2176  0.2176  2 Ni 2.24
Al  0.6648  0.0233  0.6648  1 Ni 2.33
Al  0.6648  0.6648  0.0233  1 Ni 2.33
Al  0.7824  0.3934  0.7824  2 Ni 2.24
Al  0.7824  0.7824  0.3934  2 Ni 2.24
Al  0.9767  0.3352  0.3352  1 Ni 2.33
Ni  0.0000  0.5000  0.5000  6 Al 2.24-2.33
Ni  0.5000  0.0000  0.5000  6 Al 2.24-2.33
Ni  0.5000  0.5000  0.0000  6 Al 2.24-2.33

=====

No. 2
Here is Rb4TeSe5 after structural relaxation from Alexandria via LeMat-Bulk. Energies are from PBE.

Computed properties:
**Space group**: I4
**Uncorrected formation energy**: -6.37 eV per formula unit
**Raw total energy**: -3.080 eV per atom

a b c (Å): 8.3897 8.3897 8.3897
angles (deg): 100.01 100.01 130.73
Closest atoms and distances in Å follow each position.
Positions (direct):
Rb  0.1009  0.7060  0.8070  5 Se 3.39-3.57
Rb  0.2940  0.1009  0.3949  5 Se 3.39-3.57
Rb  0.7060  0.8991  0.6051  5 Se 3.39-3.57
Rb  0.8991  0.2940  0.1930  5 Se 3.39-3.57
Te  0.4317  0.4317  0.0000  5 Se 2.53-2.71
Se  0.0701  0.0701  0.0000  1 Te 2.53
Se  0.2653  0.4284  0.6914  1 Te 2.71
Se  0.4284  0.7369  0.1630  1 Te 2.71
Se  0.5739  0.2653  0.8370  1 Te 2.71
Se  0.7369  0.5739  0.3086  1 Te 2.71

=====

No. 3
Here is Re4HRu2 after structural relaxation from Alexandria via LeMat-Bulk. Energies are from PBE.

Computed properties:
**Space group**: I4/mmm
**Raw total energy**: -9.812 eV per atom

a b c (Å): 6.7665 6.7665 6.7665
angles (deg): 146.01 146.01 48.84
Closest atoms and distances in Å follow each position.
Positions (direct):
Re  0.0000  0.5000  0.5000  2 H 1.98
Re  0.1578  0.1578  0.0000  1 H 1.94
Re  0.5000  0.0000  0.5000  2 H 1.98
Re  0.8422  0.8422  0.0000  1 H 1.94
H  0.0000  0.0000  0.0000  6 Re 1.94-1.98
Ru  0.3530  0.3530  0.0000  5 Re 2.41-2.68
Ru  0.6470  0.6470  0.0000  5 Re 2.41-2.68

=====

- What is the formula in the second record?
  Rb4TeSe5